Entry 1:
DFT (PBE-GGA) results for a relaxed structure of Pu2TaSi4Ir3.

Output
SG = P-4m2
DOS(E_F) = 2.17 states/eV/atom
Formation energy without anion corrections = -692 kJ/mol of formula units

```
Pu2TaSi4Ir3
1.0
4.0985 0.0000 0.0000
0.0000 4.0985 0.0000
0.0000 0.0000 10.4551
Pu Ta Si Ir
2 1 4 3
Direct
0.0000 0.5000 0.2430 Pu
0.5000 0.0000 0.7570 Pu
0.0000 0.0000 0.5000 Ta
0.0000 0.0000 0.0000 Si
0.0000 0.5000 0.6489 Si
0.5000 0.0000 0.3511 Si
0.5000 0.5000 0.0000 Si
0.0000 0.5000 0.8781 Ir
0.5000 0.0000 0.1219 Ir
0.5000 0.5000 0.5000 Ir
```

---

Entry 2:
DFT (PBE-GGA) results for a relaxed structure of Pu2Si4TcIr3.

Output
SG = P-4m2
DOS(E_F) = 2.25 states/eV/atom
Formation energy without anion corrections = -739 kJ/mol of formula units

```
Pu2Si4TcIr3
1.0
4.2089 0.0000 0.0000
0.0000 4.2089 0.0000
0.0000 0.0000 9.6595
Pu Si Tc Ir
2 4 1 3
Direct
0.0000 0.5000 0.2471 Pu
0.5000 0.0000 0.7529 Pu
0.0000 0.0000 0.5000 Si
0.0000 0.5000 0.8741 Si
0.5000 0.0000 0.1259 Si
0.5000 0.5000 0.5000 Si
0.5000 0.5000 0.0000 Tc
0.0000 0.0000 0.0000 Ir
0.0000 0.5000 0.6250 Ir
0.5000 0.0000 0.3750 Ir
```

---

Entry 3:
DFT (PBE-GGA) results for a relaxed structure of PuTh2Si3Ir4.

Output
SG = P-4m2
DOS(E_F) = 0.85 states/eV/atom
Formation energy without anion corrections = -888 kJ/mol of formula units

```
PuTh2Si3Ir4
1.0
4.1598 0.0000 0.0000
0.0000 4.1598 0.0000
0.0000 0.0000 10.9621
Pu Th Si Ir
1 2 3 4
Direct
0.0000 0.0000 0.0000 Pu
0.0000 0.5000 0.7330 Th
0.5000 0.0000 0.2670 Th
0.0000 0.5000 0.3807 Si
0.5000 0.0000 0.6193 Si
0.5000 0.5000 0.0000 Si
0.0000 0.0000 0.5000 Ir
0.0000 0.5000 0.1614 Ir
0.5000 0.0000 0.8386 Ir
0.5000 0.5000 0.5000 Ir
```

---

Entry 4:
DFT (PBE-GGA) results for a relaxed structure of Pu2Th2Si4Ir.

Output
SG = I4/mmm
DOS(E_F) = 1.60 states/eV/atom
Formation energy without anion corrections = -314 kJ/mol of formula units

```
Pu2Th2Si4Ir
1.0
-3.4650 3.4650 4.1458
3.4650 -3.4650 4.1458
3.4650 3.4650 -4.1458
Pu Th Si Ir
2 2 4 1
Direct
0.1707 0.1707 0.0000 Pu
0.8293 0.8293 0.0000 Pu
0.2500 0.7500 0.5000 Th
0.7500 0.2500 0.5000 Th
0.2556 0.2556 0.5111 Si
0.2556 0.7444 0.0000 Si
0.7444 0.2556 0.0000 Si
0.7444 0.7444 0.4889 Si
0.5000 0.5000 0.0000 Ir
```

---

Entry 5:
DFT (PBE-GGA) results for a relaxed structure of Pu2TiSi4Ir3.

Output
SG = P-4m2
DOS(E_F) = 2.33 states/eV/atom
Formation energy without anion corrections = -750 kJ/mol of formula units

```
Pu2TiSi4Ir3
1.0
4.0903 0.0000 0.0000
0.0000 4.0903 0.0000
0.0000 0.0000 10.3808
Pu Ti Si Ir
2 1 4 3
Direct
0.0000 0.5000 0.2451 Pu
0.5000 0.0000 0.7549 Pu
0.0000 0.0000 0.5000 Ti
0.0000 0.0000 0.0000 Si
0.0000 0.5000 0.6447 Si
0.5000 0.0000 0.3553 Si
0.5000 0.5000 0.0000 Si
0.0000 0.5000 0.8768 Ir
0.5000 0.0000 0.1232 Ir
0.5000 0.5000 0.5000 Ir
```

---

Entry 6:
DFT (PBE-GGA) results for a relaxed structure of Pu2VSi4Ir3.

Output
SG = P-4m2
DOS(E_F) = 2.42 states/eV/atom
Formation energy without anion corrections = -694 kJ/mol of formula units

```
Pu2VSi4Ir3
1.0
4.1151 0.0000 0.0000
0.0000 4.1151 0.0000
0.0000 0.0000 10.1010
Pu V Si Ir
2 1 4 3
Direct
0.0000 0.5000 0.2493 Pu
0.5000 0.0000 0.7507 Pu
0.0000 0.0000 0.5000 V
0.0000 0.0000 0.0000 Si
0.0000 0.5000 0.6360 Si
0.5000 0.0000 0.3640 Si
0.5000 0.5000 0.0000 Si
0.0000 0.5000 0.8751 Ir
0.5000 0.0000 0.1249 Ir
0.5000 0.5000 0.5000 Ir
```

---

Entry 7:
DFT (PBE-GGA) results for a relaxed structure of Pu2ZnSi2Ir5.

Output
SG = P4/mbm
DOS(E_F) = 2.20 states/eV/atom
Formation energy without anion corrections = -505 kJ/mol of formula units

```
Pu2ZnSi2Ir5
1.0
9.6463 0.0000 0.0000
0.0000 9.6463 0.0000
0.0000 0.0000 3.5614
Pu Zn Si Ir
4 2 4 10
Direct
0.1752 0.3248 0.0000 Pu
0.3248 0.8248 0.0000 Pu
0.6752 0.1752 0.0000 Pu
0.8248 0.6752 0.0000 Pu
0.0000 0.0000 0.0000 Zn
0.5000 0.5000 0.0000 Zn
0.1253 0.6253 0.0000 Si
0.3747 0.1253 0.0000 Si
0.6253 0.8747 0.0000 Si
0.8747 0.3747 0.0000 Si
0.0000 0.5000 0.5000 Ir
0.0663 0.7912 0.5000 Ir
0.2088 0.0663 0.5000 Ir
0.2912 0.5663 0.5000 Ir
0.4337 0.2912 0.5000 Ir
0.5000 0.0000 0.5000 Ir
0.5663 0.7088 0.5000 Ir
0.7088 0.4337 0.5000 Ir
0.7912 0.9337 0.5000 Ir
0.9337 0.2088 0.5000 Ir
```

---

Entry 8:
DFT (PBE-GGA) results for a relaxed structure of PuZnSiIr.

Output
SG = R3m
DOS(E_F) = 2.77 states/eV/atom
Formation energy without anion corrections = -161 kJ/mol of formula units

```
PuZnSiIr
1.0
2.1202 1.2241 4.8836
-2.1202 1.2241 4.8836
0.0000 -2.4482 4.8836
Pu Zn Si Ir
1 1 1 1
Direct
0.0000 0.0000 0.0000 Pu
0.7897 0.7897 0.7897 Zn
0.5477 0.5477 0.5477 Si
0.1959 0.1959 0.1959 Ir
```

---

Entry 9:
DFT (PBE-GGA) results for a relaxed structure of SmPuIr4.

Output
Formation enthalpy at 0 K = -3.823 eV/f.u.
SG = F-43m
DOS(E_F) = 1.99 states/eV/atom

```
SmPuIr4
1.0
0.0000 3.8089 3.8089
3.8089 0.0000 3.8089
3.8089 3.8089 0.0000
Sm Pu Ir
1 1 4
Direct
0.0000 0.0000 0.0000 Sm
0.7500 0.7500 0.7500 Pu
0.3752 0.3752 0.3752 Ir
0.3752 0.3752 0.8745 Ir
0.3752 0.8745 0.3752 Ir
0.8745 0.3752 0.3752 Ir
```

---

Entry 10:
DFT (PBE-GGA) results for a relaxed structure of Sm2PuIr9.

Output
Formation enthalpy at 0 K = -5.859 eV/f.u.
SG = R-3m
DOS(E_F) = 1.54 states/eV/atom

```
Sm2PuIr9
1.0
2.6658 1.5391 8.8358
-2.6658 1.5391 8.8358
0.0000 -3.0782 8.8358
Sm Pu Ir
2 1 9
Direct
0.1395 0.1395 0.1395 Sm
0.8605 0.8605 0.8605 Sm
0.0000 0.0000 0.0000 Pu
0.0829 0.5805 0.5805 Ir
0.3328 0.3328 0.3328 Ir
0.4195 0.4195 0.9171 Ir
0.4195 0.9171 0.4195 Ir
0.5000 0.5000 0.5000 Ir
0.5805 0.0829 0.5805 Ir
0.5805 0.5805 0.0829 Ir
0.6672 0.6672 0.6672 Ir
0.9171 0.4195 0.4195 Ir
```

---

Entry 11:
DFT (PBE-GGA) results for a relaxed structure of SmPu3Ir2.

Output
Formation enthalpy at 0 K = -2.256 eV/f.u.
SG = Pmc2_1
DOS(E_F) = 3.97 states/eV/atom

```
SmPu3Ir2
1.0
4.0006 0.0000 0.0000
0.0000 8.7418 0.0000
0.0000 0.0000 8.0308
Sm Pu Ir
2 6 4
Direct
0.0000 0.0846 0.0000 Sm
0.0000 0.9154 0.5000 Sm
0.0000 0.3018 0.5982 Pu
0.0000 0.6982 0.0982 Pu
0.5000 0.1976 0.3335 Pu
0.5000 0.4259 0.9335 Pu
0.5000 0.5741 0.4335 Pu
0.5000 0.8024 0.8335 Pu
0.0000 0.3902 0.2073 Ir
0.0000 0.6098 0.7073 Ir
0.5000 0.1149 0.7242 Ir
0.5000 0.8851 0.2242 Ir
```

---

Entry 12:
DFT (PBE-GGA) results for a relaxed structure of Sm3PuIr8.

Output
Formation enthalpy at 0 K = -8.271 eV/f.u.
SG = R3m
DOS(E_F) = 1.33 states/eV/atom

```
Sm3PuIr8
1.0
2.7000 1.5589 8.8078
-2.7000 1.5589 8.8078
0.0000 -3.1177 8.8078
Sm Pu Ir
3 1 8
Direct
0.0000 0.0000 0.0000 Sm
0.1255 0.1255 0.1255 Sm
0.6248 0.6248 0.6248 Sm
0.5005 0.5005 0.5005 Pu
0.0626 0.0626 0.5606 Ir
0.0626 0.5606 0.0626 Ir
0.0649 0.5625 0.5624 Ir
0.3127 0.3127 0.3127 Ir
0.5606 0.0626 0.0626 Ir
0.5624 0.0649 0.5624 Ir
0.5624 0.5624 0.0649 Ir
0.8127 0.8127 0.8127 Ir
```